Entry 1:
DFT (PBEsol) results for a relaxed Al3V crystal.

Values from the calculation:
V in A^3/atom: 14.41
Total moment in μB/cell: 0.0
SG: No. 139
DFT total energy in eV/atom: -5.76
Formation energy in eV per formula unit: -1.121

Cell: 3.739 3.739 8.247 Å, 90.00 90.00 90.00°
Fractional positions:
Al  0.000  0.000  0.000
Al  0.000  0.500  0.250
Al  0.000  0.500  0.750
Al  0.500  0.000  0.250
Al  0.500  0.000  0.750
Al  0.500  0.500  0.500
V  0.000  0.000  0.500
V  0.500  0.500  0.000

---

Entry 2:
DFT (PBEsol) results for a relaxed Al8V5 crystal.

Values from the calculation:
V in A^3/atom: 14.74
Total moment in μB/cell: 0.0
SG: No. 8
DFT total energy in eV/atom: -6.44
Formation energy in eV per formula unit: -2.830
Energy above the most stable polymorph in this dataset in meV per atom: 0

Cell: 7.932 7.932 7.867 Å, 108.83 108.83 110.28°
Fractional positions:
Al  0.000  0.000  0.000
Al  0.089  0.354  0.954
Al  0.107  0.697  0.616
Al  0.348  0.993  0.246
Al  0.354  0.089  0.954
Al  0.354  0.703  0.339
Al  0.592  0.592  0.187
Al  0.601  0.957  0.865
Al  0.697  0.107  0.616
Al  0.701  0.701  0.601
Al  0.703  0.354  0.339
Al  0.728  0.989  0.250
Al  0.957  0.601  0.865
Al  0.989  0.728  0.250
Al  0.993  0.348  0.246
Al  0.993  0.993  0.602
V  0.009  0.339  0.595
V  0.138  0.138  0.394
V  0.339  0.009  0.595
V  0.340  0.340  0.796
V  0.348  0.348  0.269
V  0.349  0.689  0.953
V  0.350  0.547  0.597
V  0.547  0.350  0.597
V  0.685  0.685  0.933
V  0.689  0.349  0.953

---

Entry 3:
DFT (PBEsol) results for a relaxed Al41V4 crystal.

Values from the calculation:
V in A^3/atom: 16.47
Total moment in μB/cell: 0.0
SG: No. 216
DFT total energy in eV/atom: -4.67
Formation energy in eV per formula unit: -3.727

Cell: 10.158 10.158 10.158 Å, 60.00 60.00 60.00°
Fractional positions:
Al  0.000  0.000  0.000
Al  0.078  0.552  0.552
Al  0.078  0.552  0.818
Al  0.078  0.818  0.552
Al  0.110  0.110  0.390
Al  0.110  0.390  0.110
Al  0.110  0.390  0.390
Al  0.198  0.198  0.671
Al  0.198  0.198  0.932
Al  0.198  0.671  0.198
Al  0.198  0.671  0.932
Al  0.198  0.932  0.198
Al  0.198  0.932  0.671
Al  0.360  0.360  0.640
Al  0.360  0.640  0.360
Al  0.360  0.640  0.640
Al  0.374  0.875  0.875
Al  0.390  0.110  0.110
Al  0.390  0.110  0.390
Al  0.390  0.390  0.110
Al  0.552  0.078  0.552
Al  0.552  0.078  0.818
Al  0.552  0.552  0.078
Al  0.552  0.552  0.818
Al  0.552  0.818  0.078
Al  0.552  0.818  0.552
Al  0.640  0.360  0.360
Al  0.640  0.360  0.640
Al  0.640  0.640  0.360
Al  0.671  0.198  0.198
Al  0.671  0.198  0.932
Al  0.671  0.932  0.198
Al  0.818  0.078  0.552
Al  0.818  0.552  0.078
Al  0.818  0.552  0.552
Al  0.875  0.374  0.875
Al  0.875  0.875  0.374
Al  0.875  0.875  0.875
Al  0.932  0.198  0.198
Al  0.932  0.198  0.671
Al  0.932  0.671  0.198
V  0.375  0.375  0.375
V  0.375  0.375  0.875
V  0.375  0.875  0.375
V  0.875  0.375  0.375

---

Entry 4:
DFT (PBEsol) results for a relaxed Al23V4 crystal.

Values from the calculation:
V in A^3/atom: 15.76
Total moment in μB/cell: 0.0
SG: No. 194
DFT total energy in eV/atom: -5.08
Formation energy in eV per formula unit: -4.439

Cell: 7.622 7.622 16.916 Å, 90.00 90.00 120.00°
Fractional positions:
Al  0.081  0.540  0.166
Al  0.081  0.540  0.334
Al  0.125  0.250  0.617
Al  0.125  0.250  0.883
Al  0.125  0.875  0.617
Al  0.125  0.875  0.883
Al  0.126  0.251  0.250
Al  0.126  0.874  0.250
Al  0.210  0.421  0.029
Al  0.210  0.421  0.471
Al  0.210  0.790  0.029
Al  0.210  0.790  0.471
Al  0.250  0.125  0.117
Al  0.250  0.125  0.383
Al  0.251  0.126  0.750
Al  0.333  0.667  0.616
Al  0.333  0.667  0.884
Al  0.421  0.210  0.529
Al  0.421  0.210  0.971
Al  0.460  0.540  0.166
Al  0.460  0.540  0.334
Al  0.460  0.919  0.166
Al  0.460  0.919  0.334
Al  0.540  0.081  0.666
Al  0.540  0.081  0.834
Al  0.540  0.460  0.666
Al  0.540  0.460  0.834
Al  0.579  0.790  0.029
Al  0.579  0.790  0.471
Al  0.667  0.333  0.116
Al  0.667  0.333  0.384
Al  0.749  0.874  0.250
Al  0.750  0.875  0.617
Al  0.750  0.875  0.883
Al  0.790  0.210  0.529
Al  0.790  0.210  0.971
Al  0.790  0.579  0.529
Al  0.790  0.579  0.971
Al  0.874  0.126  0.750
Al  0.874  0.749  0.750
Al  0.875  0.125  0.117
Al  0.875  0.125  0.383
Al  0.875  0.750  0.117
Al  0.875  0.750  0.383
Al  0.919  0.460  0.666
Al  0.919  0.460  0.834
V  0.000  0.000  0.000
V  0.000  0.000  0.500
V  0.219  0.439  0.750
V  0.219  0.781  0.750
V  0.439  0.219  0.250
V  0.561  0.781  0.750
V  0.781  0.219  0.250
V  0.781  0.561  0.250

---

Entry 5:
DFT (PBEsol) results for a relaxed Al10V crystal.

Values from the calculation:
V in A^3/atom: 16.80
Total moment in μB/cell: 0.0
SG: No. 227
DFT total energy in eV/atom: -4.68
Formation energy in eV per formula unit: -0.903

Cell: 10.148 10.148 10.148 Å, 60.00 60.00 60.00°
Fractional positions:
Al  0.000  0.000  0.000
Al  0.000  0.000  0.500
Al  0.000  0.500  0.000
Al  0.057  0.323  0.323
Al  0.057  0.323  0.797
Al  0.057  0.797  0.323
Al  0.203  0.677  0.677
Al  0.203  0.677  0.943
Al  0.203  0.943  0.677
Al  0.235  0.235  0.515
Al  0.235  0.515  0.235
Al  0.235  0.515  0.515
Al  0.323  0.057  0.323
Al  0.323  0.057  0.797
Al  0.323  0.323  0.057
Al  0.323  0.323  0.797
Al  0.323  0.797  0.057
Al  0.323  0.797  0.323
Al  0.485  0.485  0.765
Al  0.485  0.765  0.485
Al  0.485  0.765  0.765
Al  0.500  0.000  0.000
Al  0.515  0.235  0.235
Al  0.515  0.235  0.515
Al  0.515  0.515  0.235
Al  0.677  0.203  0.677
Al  0.677  0.203  0.943
Al  0.677  0.677  0.203
Al  0.677  0.677  0.943
Al  0.677  0.943  0.203
Al  0.677  0.943  0.677
Al  0.765  0.485  0.485
Al  0.765  0.485  0.765
Al  0.765  0.765  0.485
Al  0.797  0.057  0.323
Al  0.797  0.323  0.057
Al  0.797  0.323  0.323
Al  0.943  0.203  0.677
Al  0.943  0.677  0.203
Al  0.943  0.677  0.677
V  0.000  0.500  0.500
V  0.500  0.000  0.500
V  0.500  0.500  0.000
V  0.500  0.500  0.500

---

Entry 6:
DFT (PBEsol) results for a relaxed Al8V5 crystal.

Values from the calculation:
V in A^3/atom: 14.49
Total moment in μB/cell: 4.0
SG: No. 217
DFT total energy in eV/atom: -6.41
Formation energy in eV per formula unit: -2.380
Energy above the most stable polymorph in this dataset in meV per atom: 35

Cell: 7.880 7.880 7.880 Å, 109.47 109.47 109.47°
Fractional positions:
Al  0.000  0.000  0.777
Al  0.000  0.291  0.657
Al  0.000  0.657  0.291
Al  0.000  0.777  0.000
Al  0.223  0.223  0.223
Al  0.291  0.000  0.657
Al  0.291  0.657  0.000
Al  0.343  0.343  0.635
Al  0.343  0.635  0.343
Al  0.365  0.709  0.709
Al  0.635  0.343  0.343
Al  0.657  0.000  0.291
Al  0.657  0.291  0.000
Al  0.709  0.365  0.709
Al  0.709  0.709  0.365
Al  0.777  0.000  0.000
V  0.000  0.000  0.347
V  0.000  0.347  0.000
V  0.000  0.349  0.349
V  0.000  0.651  0.651
V  0.347  0.000  0.000
V  0.349  0.000  0.349
V  0.349  0.349  0.000
V  0.651  0.000  0.651
V  0.651  0.651  0.000
V  0.653  0.653  0.653

---

Entry 7:
DFT (PBEsol) results for a relaxed Al3W crystal.

Values from the calculation:
V in A^3/atom: 14.95
Total moment in μB/cell: 0.0
SG: No. 59
DFT total energy in eV/atom: -6.58
Formation energy in eV per formula unit: -0.240

Cell: 4.614 5.281 4.908 Å, 90.00 90.00 90.00°
Fractional positions:
Al  0.250  0.000  0.150
Al  0.250  0.250  0.648
Al  0.250  0.500  0.150
Al  0.750  0.000  0.850
Al  0.750  0.500  0.850
Al  0.750  0.750  0.352
W  0.250  0.750  0.648
W  0.750  0.250  0.352

---

Entry 8:
DFT (PBEsol) results for a relaxed Al3W crystal.

Values from the calculation:
V in A^3/atom: 15.11
Total moment in μB/cell: 0.0
SG: No. 44
DFT total energy in eV/atom: -6.59
Formation energy in eV per formula unit: -0.267

Cell: 2.840 8.899 4.784 Å, 90.00 90.00 90.00°
Fractional positions:
Al  0.000  0.000  0.000
Al  0.000  0.245  0.657
Al  0.000  0.755  0.657
Al  0.500  0.255  0.157
Al  0.500  0.500  0.500
Al  0.500  0.745  0.157
W  0.000  0.500  0.989
W  0.500  0.000  0.489

---

Entry 9:
DFT (PBEsol) results for a relaxed AlW2 crystal.

Values from the calculation:
V in A^3/atom: 15.09
Total moment in μB/cell: 0.0
SG: No. 140
DFT total energy in eV/atom: -10.36
Formation energy in eV per formula unit: 0.616

Cell: 6.043 6.043 4.960 Å, 90.00 90.00 90.00°
Fractional positions:
Al  0.000  0.000  0.250
Al  0.000  0.000  0.750
Al  0.500  0.500  0.250
Al  0.500  0.500  0.750
W  0.155  0.345  0.000
W  0.155  0.655  0.500
W  0.345  0.155  0.500
W  0.345  0.845  0.000
W  0.655  0.155  0.000
W  0.655  0.845  0.500
W  0.845  0.345  0.500
W  0.845  0.655  0.000

---

Entry 10:
DFT (PBEsol) results for a relaxed Al3W crystal.

Values from the calculation:
V in A^3/atom: 15.13
Total moment in μB/cell: 0.0
SG: No. 25
DFT total energy in eV/atom: -6.61
Formation energy in eV per formula unit: -0.358

Cell: 2.756 4.558 4.819 Å, 90.00 90.00 90.00°
Fractional positions:
Al  0.000  0.000  0.000
Al  0.000  0.500  0.323
Al  0.500  0.000  0.503
W  0.500  0.500  0.817

---

Entry 11:
DFT (PBEsol) results for a relaxed AlW crystal.

Values from the calculation:
V in A^3/atom: 15.20
Total moment in μB/cell: 0.0
SG: No. 129
DFT total energy in eV/atom: -9.04
Formation energy in eV per formula unit: -0.184

Cell: 3.239 3.239 5.798 Å, 90.00 90.00 90.00°
Fractional positions:
Al  0.250  0.250  0.125
Al  0.750  0.750  0.875
W  0.250  0.250  0.618
W  0.750  0.750  0.382

---

Entry 12:
DFT (PBEsol) results for a relaxed AlW3 crystal.

Values from the calculation:
V in A^3/atom: 15.60
Total moment in μB/cell: 0.0
SG: No. 187
DFT total energy in eV/atom: -11.14
Formation energy in eV per formula unit: 0.969

Cell: 2.799 2.799 9.200 Å, 90.00 90.00 120.00°
Fractional positions:
Al  0.000  0.000  0.000
W  0.000  0.000  0.500
W  0.333  0.667  0.243
W  0.333  0.667  0.757

---

Entry 13:
DFT (PBEsol) results for a relaxed Al2W crystal.

Values from the calculation:
V in A^3/atom: 15.10
Total moment in μB/cell: 0.0
SG: No. 181
DFT total energy in eV/atom: -7.34
Formation energy in eV per formula unit: -0.030

Cell: 4.824 4.824 6.743 Å, 90.00 90.00 120.00°
Fractional positions:
Al  0.169  0.337  0.000
Al  0.169  0.831  0.667
Al  0.337  0.169  0.333
Al  0.663  0.831  0.333
Al  0.831  0.169  0.667
Al  0.831  0.663  0.000
W  0.000  0.500  0.333
W  0.500  0.000  0.000
W  0.500  0.500  0.667

---

Entry 14:
DFT (PBEsol) results for a relaxed Al2W crystal.

Values from the calculation:
V in A^3/atom: 14.90
Total moment in μB/cell: 0.0
SG: No. 62
DFT total energy in eV/atom: -7.38
Formation energy in eV per formula unit: -0.138

Cell: 4.939 4.366 8.293 Å, 90.00 90.00 90.00°
Fractional positions:
Al  0.153  0.250  0.019
Al  0.156  0.250  0.682
Al  0.344  0.750  0.182
Al  0.347  0.750  0.519
Al  0.653  0.250  0.481
Al  0.656  0.250  0.818
Al  0.844  0.750  0.318
Al  0.847  0.750  0.981
W  0.144  0.250  0.353
W  0.356  0.750  0.853
W  0.644  0.250  0.147
W  0.856  0.750  0.647

---

Entry 15:
DFT (PBEsol) results for a relaxed AlW2 crystal.

Values from the calculation:
V in A^3/atom: 15.47
Total moment in μB/cell: 0.0
SG: No. 63
DFT total energy in eV/atom: -10.43
Formation energy in eV per formula unit: 0.413

Cell: 2.695 15.094 4.565 Å, 90.00 90.00 90.00°
Fractional positions:
Al  0.000  0.115  0.250
Al  0.000  0.885  0.750
Al  0.500  0.385  0.750
Al  0.500  0.615  0.250
W  0.000  0.216  0.750
W  0.000  0.451  0.250
W  0.000  0.549  0.750
W  0.000  0.784  0.250
W  0.500  0.049  0.750
W  0.500  0.284  0.250
W  0.500  0.716  0.750
W  0.500  0.951  0.250

---

Entry 16:
DFT (PBEsol) results for a relaxed AlW3 crystal.

Values from the calculation:
V in A^3/atom: 15.35
Total moment in μB/cell: 0.0
SG: No. 71
DFT total energy in eV/atom: -11.33
Formation energy in eV per formula unit: 0.180

Cell: 3.170 4.407 8.788 Å, 90.00 90.00 90.00°
Fractional positions:
Al  0.000  0.000  0.000
Al  0.500  0.500  0.500
W  0.000  0.000  0.500
W  0.000  0.500  0.242
W  0.000  0.500  0.758
W  0.500  0.000  0.258
W  0.500  0.000  0.742
W  0.500  0.500  0.000

---

Entry 17:
DFT (PBEsol) results for a relaxed Al3W crystal.

Values from the calculation:
V in A^3/atom: 15.71
Total moment in μB/cell: 0.0
SG: No. 187
DFT total energy in eV/atom: -6.43
Formation energy in eV per formula unit: 0.360

Cell: 2.831 2.831 9.054 Å, 90.00 90.00 120.00°
Fractional positions:
Al  0.000  0.000  0.000
Al  0.667  0.333  0.258
Al  0.667  0.333  0.742
W  0.000  0.000  0.500

---

Entry 18:
DFT (PBEsol) results for a relaxed AlW5 crystal.

Values from the calculation:
V in A^3/atom: 15.49
Total moment in μB/cell: 0.0
SG: No. 65
DFT total energy in eV/atom: -12.14
Formation energy in eV per formula unit: 0.300

Cell: 3.163 13.263 4.431 Å, 90.00 90.00 90.00°
Fractional positions:
Al  0.000  0.000  0.000
Al  0.500  0.500  0.000
W  0.000  0.162  0.500
W  0.000  0.329  0.000
W  0.000  0.500  0.500
W  0.000  0.671  0.000
W  0.000  0.838  0.500
W  0.500  0.000  0.500
W  0.500  0.171  0.000
W  0.500  0.338  0.500
W  0.500  0.662  0.500
W  0.500  0.829  0.000